Density functional theory data (PBE-GGA) for a relaxed Os2RhAu crystal.

Values from the calculation:
Theoretical density = 18.71 Mg/m³
Formation energy from the elements = 0.37 eV/atom
Density of states at the Fermi level = 4.62 states/eV/f.u.
Relative energy among the computed polymorphs = 0.1581 eV/atom

Geometry as CIF:
```
data_Os2RhAu
_cell_length_a 9.1782
_cell_length_b 2.7594
_cell_length_c 4.8362
_cell_angle_alpha 90.00
_cell_angle_beta 99.67
_cell_angle_gamma 90.00
_space_group_name_H-M_alt 'C 1 m 1'
_space_group_IT_number 8
_space_group_name_Hall 'C -2y'
loop_
_atom_site_label
_atom_site_fract_x
_atom_site_fract_y
_atom_site_fract_z
_atom_site_occupancy
Os1 0.0000 0.0000 0.0000 1
Os2 0.2425 0.5000 0.2070 1
Rh1 0.2548 0.0000 0.7407 1
Au1 0.4992 0.0000 0.4922 1
```

***

Density functional theory data (PBE-GGA) for a relaxed Tb6Te3PSe2 crystal.

Values from the calculation:
Theoretical density = 7.89 Mg/m³
VASP energy = -5.716 eV per atom
Density of states at the Fermi level = 4.97 states/eV/f.u.

Geometry as CIF:
```
data_Tb6Te3PSe2
_cell_length_a 7.2563
_cell_length_b 12.5565
_cell_length_c 7.4460
_cell_angle_alpha 90.00
_cell_angle_beta 108.88
_cell_angle_gamma 90.00
_space_group_name_H-M_alt 'C 1 2/m 1'
_space_group_IT_number 12
_space_group_name_Hall '-C 2y'
loop_
_atom_site_label
_atom_site_fract_x
_atom_site_fract_y
_atom_site_fract_z
_atom_site_occupancy
Tb1 0.2291 0.1587 0.2125 1
Tb2 0.2443 0.0000 0.7846 1
Te1 0.0000 0.1708 0.5000 1
Te2 0.0000 0.5000 0.5000 1
P1 0.0000 0.0000 0.0000 1
Se1 0.0000 0.3342 0.0000 1
```

***

Density functional theory data (PBE-GGA) for a relaxed Sc2TlRe crystal.

Values from the calculation:
Theoretical density = 9.74 Mg/m³
Formation energy from the elements = 0.19 eV/atom
Density of states at the Fermi level = 3.57 states/eV/f.u.

Geometry as CIF:
```
data_Sc2TlRe
_cell_length_a 3.6376
_cell_length_b 3.6376
_cell_length_c 6.1878
_cell_angle_alpha 90.00
_cell_angle_beta 90.00
_cell_angle_gamma 90.00
_space_group_name_H-M_alt 'P 4 m m'
_space_group_IT_number 99
_space_group_name_Hall 'P 4 -2'
loop_
_atom_site_label
_atom_site_fract_x
_atom_site_fract_y
_atom_site_fract_z
_atom_site_occupancy
Sc1 0.0000 0.0000 0.0000 1
Sc2 0.5000 0.5000 0.2812 1
Tl1 0.0000 0.0000 0.5388 1
Re1 0.5000 0.5000 0.8242 1
```

***

Density functional theory data (PBE-GGA) for a relaxed KMg2PdCl crystal.

Values from the calculation:
Theoretical density = 1.69 Mg/m³
VASP energy = -1.672 eV per atom
Density of states at the Fermi level = 6.16 states/eV/f.u.

Geometry as CIF:
```
data_KMg2PdCl
_cell_length_a 6.4856
_cell_length_b 6.4856
_cell_length_c 5.3505
_cell_angle_alpha 90.00
_cell_angle_beta 90.00
_cell_angle_gamma 90.00
_space_group_name_H-M_alt 'P 4/m m m'
_space_group_IT_number 123
_space_group_name_Hall '-P 4 2'
loop_
_atom_site_label
_atom_site_fract_x
_atom_site_fract_y
_atom_site_fract_z
_atom_site_occupancy
K1 0.0000 0.0000 0.0000 1
Mg1 0.0000 0.5000 0.0000 1
Pd1 0.5000 0.5000 0.5000 1
Cl1 0.0000 0.0000 0.5000 1
```

***

Density functional theory data (PBE-GGA) for a relaxed KZn3F8 crystal.

Values from the calculation:
Theoretical density = 3.33 Mg/m³
VASP energy = -3.803 eV per atom
Density of states at the Fermi level = 11.14 states/eV/f.u.

Geometry as CIF:
```
data_KZn3F8
_cell_length_a 5.4337
_cell_length_b 5.4337
_cell_length_c 7.5539
_cell_angle_alpha 90.00
_cell_angle_beta 90.00
_cell_angle_gamma 120.00
_space_group_name_H-M_alt 'P -3'
_space_group_IT_number 147
_space_group_name_Hall '-P 3'
loop_
_atom_site_label
_atom_site_fract_x
_atom_site_fract_y
_atom_site_fract_z
_atom_site_occupancy
K1 0.0000 0.0000 0.0000 1
Zn1 0.0000 0.0000 0.5000 1
Zn2 0.3333 0.6667 0.7282 1
F1 0.0223 0.7190 0.6609 1
F2 0.3333 0.6667 0.9778 1
```

***

Density functional theory data (PBE-GGA) for a relaxed Ac8Ge3RhI4 crystal.

Values from the calculation:
Theoretical density = 7.34 Mg/m³
VASP energy = -4.741 eV per atom
Density of states at the Fermi level = 13.41 states/eV/f.u.

Geometry as CIF:
```
data_Ac8Ge3RhI4
_cell_length_a 9.2066
_cell_length_b 9.2066
_cell_length_c 24.4367
_cell_angle_alpha 90.00
_cell_angle_beta 90.00
_cell_angle_gamma 120.00
_space_group_name_H-M_alt 'R -3 m'
_space_group_IT_number 166
_space_group_name_Hall '-R 3 2"'
loop_
_atom_site_label
_atom_site_fract_x
_atom_site_fract_y
_atom_site_fract_z
_atom_site_occupancy
Ac1 0.0000 0.0000 0.2352 1
Ac2 0.0133 0.5066 0.2318 1
Ge1 0.0000 0.5000 0.5000 1
Rh1 0.0000 0.0000 0.5000 1
I1 0.0000 0.0000 0.0000 1
I2 0.0000 0.5000 0.0000 1
```

***

Density functional theory data (PBE-GGA) for a relaxed Tl2Hg2Sb crystal.

Values from the calculation:
Theoretical density = 10.31 Mg/m³
Density of states at the Fermi level = 2.64 states/eV/f.u.
Relative energy among the computed polymorphs = 0.1158 eV/atom

Geometry as CIF:
```
data_Tl2Hg2Sb
_cell_length_a 9.1672
_cell_length_b 9.1672
_cell_length_c 3.5708
_cell_angle_alpha 90.00
_cell_angle_beta 90.00
_cell_angle_gamma 90.00
_space_group_name_H-M_alt 'P 4/m b m'
_space_group_IT_number 127
_space_group_name_Hall '-P 4 2ab'
loop_
_atom_site_label
_atom_site_fract_x
_atom_site_fract_y
_atom_site_fract_z
_atom_site_occupancy
Tl1 0.1884 0.3116 0.0000 1
Hg1 0.1177 0.6177 0.5000 1
Sb1 0.0000 0.0000 0.0000 1
```

***

Density functional theory data (PBE-GGA) for a relaxed Pu2Zn3Ag crystal.

Values from the calculation:
Theoretical density = 11.09 Mg/m³
Formation energy from the elements = -0.12 eV/atom
Density of states at the Fermi level = 14.41 states/eV/f.u.

Geometry as CIF:
```
data_Pu2Zn3Ag
_cell_length_a 5.5317
_cell_length_b 5.5317
_cell_length_c 8.9512
_cell_angle_alpha 90.00
_cell_angle_beta 90.00
_cell_angle_gamma 120.00
_space_group_name_H-M_alt 'P 63/m m c'
_space_group_IT_number 194
_space_group_name_Hall '-P 6c 2c'
loop_
_atom_site_label
_atom_site_fract_x
_atom_site_fract_y
_atom_site_fract_z
_atom_site_occupancy
Pu1 0.3333 0.6667 0.0600 1
Zn1 0.1684 0.3369 0.7500 1
Ag1 0.0000 0.0000 0.0000 1
```

***

Density functional theory data (PBE-GGA) for a relaxed YNiSb2I crystal.

Values from the calculation:
Theoretical density = 6.39 Mg/m³
Density of states at the Fermi level = 3.62 states/eV/f.u.
Relative energy among the computed polymorphs = 0.0000 eV/atom

Geometry as CIF:
```
data_YNiSb2I
_cell_length_a 5.0064
_cell_length_b 5.0064
_cell_length_c 5.3672
_cell_angle_alpha 90.00
_cell_angle_beta 90.00
_cell_angle_gamma 90.00
_space_group_name_H-M_alt 'P 4/m m m'
_space_group_IT_number 123
_space_group_name_Hall '-P 4 2'
loop_
_atom_site_label
_atom_site_fract_x
_atom_site_fract_y
_atom_site_fract_z
_atom_site_occupancy
Y1 0.0000 0.0000 0.0000 1
Ni1 0.5000 0.5000 0.5000 1
Sb1 0.0000 0.5000 0.5000 1
I1 0.5000 0.5000 0.0000 1
```

***

Density functional theory data (PBE-GGA) for a relaxed Er8Ga2Ag crystal.

Values from the calculation:
Theoretical density = 8.96 Mg/m³
Formation energy from the elements = -0.24 eV/atom
Density of states at the Fermi level = 11.90 states/eV/f.u.

Geometry as CIF:
```
data_Er8Ga2Ag
_cell_length_a 18.0394
_cell_length_b 4.9673
_cell_length_c 6.7006
_cell_angle_alpha 90.00
_cell_angle_beta 101.94
_cell_angle_gamma 90.00
_space_group_name_H-M_alt 'C 1 2/m 1'
_space_group_IT_number 12
_space_group_name_Hall '-C 2y'
loop_
_atom_site_label
_atom_site_fract_x
_atom_site_fract_y
_atom_site_fract_z
_atom_site_occupancy
Er1 0.0254 0.0000 0.2647 1
Er2 0.0925 0.5000 0.9635 1
Er3 0.1605 0.5000 0.4698 1
Er4 0.2046 0.0000 0.8134 1
Ga1 0.1908 0.0000 0.2462 1
Ag1 0.0000 0.5000 0.5000 1
```

***

Density functional theory data (PBE-GGA) for a relaxed MnCdAgRh crystal.

Values from the calculation:
Theoretical density = 9.43 Mg/m³
Formation energy from the elements = 0.03 eV/atom
Density of states at the Fermi level = 2.26 states/eV/f.u.

Geometry as CIF:
```
data_MnCdAgRh
_cell_length_a 6.4340
_cell_length_b 6.4340
_cell_length_c 6.4340
_cell_angle_alpha 90.00
_cell_angle_beta 90.00
_cell_angle_gamma 90.00
_space_group_name_H-M_alt 'F -4 3 m'
_space_group_IT_number 216
_space_group_name_Hall 'F -4 2 3'
loop_
_atom_site_label
_atom_site_fract_x
_atom_site_fract_y
_atom_site_fract_z
_atom_site_occupancy
Mn1 0.0000 0.0000 0.0000 1
Cd1 0.0000 0.0000 0.5000 1
Ag1 0.2500 0.2500 0.7500 1
Rh1 0.2500 0.2500 0.2500 1
```

***

Density functional theory data (PBE-GGA) for a relaxed RbCrH2 crystal.

Values from the calculation:
Theoretical density = 3.19 Mg/m³
Density of states at the Fermi level = 0.10 states/eV/f.u.
Relative energy among the computed polymorphs = 0.1259 eV/atom

Geometry as CIF:
```
data_RbCrH2
_cell_length_a 11.9676
_cell_length_b 6.4248
_cell_length_c 3.8072
_cell_angle_alpha 90.00
_cell_angle_beta 97.78
_cell_angle_gamma 90.00
_space_group_name_H-M_alt 'C 1 2 1'
_space_group_IT_number 5
_space_group_name_Hall 'C 2y'
loop_
_atom_site_label
_atom_site_fract_x
_atom_site_fract_y
_atom_site_fract_z
_atom_site_occupancy
Rb1 0.1632 0.0000 0.4613 1
Cr1 0.0502 0.5101 0.8489 1
H1 0.0000 0.2561 0.0000 1
H2 0.0000 0.6843 0.5000 1
H3 0.1677 0.6644 0.9872 1
```